A relaxed structure of ScBe2P, computed with PBE-GGA. Values from VASP.

```
&SYSTEM
  ibrav = 0, nat = 4, ntyp = 3
/
ATOMIC_SPECIES
Sc 44.96 Sc.upf
Be 9.01 Be.upf
P 30.97 P.upf
ATOMIC_POSITIONS crystal
Sc 0.000 0.000 0.000
Be 0.000 0.000 0.495
Be 0.500 0.500 0.675
P 0.500 0.500 0.295
CELL_PARAMETERS angstrom
1.988 -2.419 0.000
1.988 2.419 0.000
0.000 0.000 5.619
```

Values from the calculation:
calculated density	2.9	g/cm³
VASP energy	-4.9341	eV per atom
volume	54.0	Å³/cell
energy of formation from the pure elements	-13.1	kJ per mole of atoms

---

A relaxed structure of ScBeP2, computed with PBE-GGA. Values from VASP.

```
&SYSTEM
  ibrav = 0, nat = 8, ntyp = 3
/
ATOMIC_SPECIES
Sc 44.96 Sc.upf
Be 9.01 Be.upf
P 30.97 P.upf
ATOMIC_POSITIONS crystal
Sc 0.000 0.000 0.000
Sc 0.750 0.250 0.500
Be 0.250 0.750 0.500
Be 0.500 0.500 0.000
P 0.189 0.625 0.064
P 0.375 0.439 0.564
P 0.561 0.125 0.936
P 0.875 0.811 0.436
CELL_PARAMETERS angstrom
-3.166 3.166 3.133
3.166 -3.166 3.133
3.166 3.166 -3.133
```

Values from the calculation:
calculated density	3.1	g/cm³
VASP energy	-5.8033	eV per atom
volume	125.6	Å³/cell
energy of formation from the pure elements	-56.3	kJ per mole of atoms

---

A relaxed structure of ScBe2P, computed with PBE-GGA. Values from VASP.

```
&SYSTEM
  ibrav = 0, nat = 4, ntyp = 3
/
ATOMIC_SPECIES
Sc 44.96 Sc.upf
Be 9.01 Be.upf
P 30.97 P.upf
ATOMIC_POSITIONS crystal
Sc 0.000 0.000 0.000
Be 0.500 0.500 0.500
Be 0.750 0.750 0.750
P 0.250 0.250 0.250
CELL_PARAMETERS angstrom
0.000 2.987 2.987
2.987 0.000 2.987
2.987 2.987 0.000
```

Values from the calculation:
calculated density	2.9	g/cm³
VASP energy	-4.6484	eV per atom
volume	53.3	Å³/cell
energy of formation from the pure elements	14.5	kJ per mole of atoms